Record 1
Crystalline Lu2Mn3Sb3O14 at its relaxed geometry, computed with PBEsol.

Lattice parameters (Å, degrees): 12.2686 7.2009 7.0997 90.00 124.47 90.00
Last column: nearest neighbours and their distance in Å.
Space group C2/m (No. 12)
Unique sites:
Lu 0.0000 0.0000 0.0000  8 O 2.21-2.48
Lu 0.0000 0.0000 0.5000  4 O 2.17-2.39
Mn 0.0000 0.5000 0.0000  6 O 1.90-2.02
Mn 0.2500 0.2500 0.5000  4 O 2.19-2.44
Sb 0.0000 0.5000 0.5000  6 O 1.97-1.99
Sb 0.2500 0.2500 0.0000  6 O 1.94-2.00
O 0.0755 0.5000 0.3185  1 Mn 1.90, 1 Sb 1.97
O 0.1215 0.2813 0.0743  1 Sb 1.94, 1 Mn 2.02
O 0.1226 0.2891 0.6638  2 Sb 1.99-2.00
O 0.1270 0.0000 0.3779  2 Lu 2.17-2.21, 2 Mn 2.19
O 0.1645 0.0000 0.9023  2 Sb 2.00

Properties
- magnetic moment (μB/cell) = 27.9
- calculated volume (A^3/atom) = 11.752
- formation energy from raw total energies (eV/atom) = -1.94



Record 2
Crystalline Lu6MnSb2 at its relaxed geometry, computed with PBEsol.

Lattice parameters (Å, degrees): 7.8705 7.8705 4.0733 90.00 90.00 120.00
Last column: nearest neighbours and their distance in Å.
Space group P-62m (No. 189)
Unique sites:
Lu 0.0000 0.3907 0.0000  1 Mn 3.08, 4 Sb 3.17, 4 Lu 3.37
Lu 0.0000 0.7660 0.5000  2 Mn 2.75
Mn 0.0000 0.0000 0.0000  9 Lu 2.75-3.08
Sb 0.3333 0.6667 0.5000  9 Lu 3.09-3.17

Properties
- magnetic moment (μB/cell) = 0.1
- calculated volume (A^3/atom) = 24.279
- formation energy from raw total energies (eV/atom) = -0.55



Record 3
Crystalline LuMn2Si2 at its relaxed geometry, computed with PBEsol.

Lattice parameters (Å, degrees): 3.8005 3.8005 10.1362 90.00 90.00 90.00
Last column: nearest neighbours and their distance in Å.
Space group I4/mmm (No. 139)
Unique sites:
Lu 0.0000 0.0000 0.0000  8 Si 2.94, 8 Mn 3.17
Mn 0.0000 0.5000 0.2500  4 Si 2.32
Si 0.0000 0.0000 0.3816  4 Mn 2.32, 1 Si 2.40

Properties
- magnetic moment (μB/cell) = 6.7
- calculated volume (A^3/atom) = 14.641
- formation energy from raw total energies (eV/atom) = -0.63



Record 4
Crystalline LuMnSi at its relaxed geometry, computed with PBEsol.

Lattice parameters (Å, degrees): 6.7103 4.0104 7.2372 90.00 90.00 90.00
Last column: nearest neighbours and their distance in Å.
Space group Pnma (No. 62)
Unique sites:
Lu 0.0043 0.2500 0.1875  5 Si 2.83-2.90, 4 Mn 2.84-3.00
Mn 0.1441 0.2500 0.5586  4 Si 2.40-2.57
Si 0.2094 0.7500 0.3872  4 Mn 2.40-2.57

Properties
- magnetic moment (μB/cell) = 7.5
- calculated volume (A^3/atom) = 16.230
- formation energy from raw total energies (eV/atom) = -0.56